# NdEr2Sc6 | Alexandria | GGA-PBE | optimized geometry
data_NdEr2Sc6
_chemical_formula_sum 'Nd2 Er4 Sc12'
_space_group_name_H-M_alt 'P 42/m n m'
_space_group_IT_number 136
_space_group_name_Hall '-P 4n 2n'
_cell_length_a 7.801
_cell_length_b 7.801
_cell_length_c 9.679
_cell_angle_alpha 90.00
_cell_angle_beta 90.00
_cell_angle_gamma 90.00
loop_
_atom_site_label
_atom_site_type_symbol
_atom_site_fract_x
_atom_site_fract_y
_atom_site_fract_z
Nd1 Nd 0.000 0.000 0.000
Er1 Er 0.000 0.000 0.333
Sc1 Sc 0.237 0.237 0.500
Sc2 Sc 0.239 0.239 0.164
# energy: -4.907 eV/atom